# Nd3Te2Ir, relaxed, DFT PBE
# Magnetic moment ... 0.000 μB/atom
# Offset from the most stable computed form ... 0.000 eV per atom
# Volume ... 30.65 Å³ per atom
# DOS(E_F) ... 0.657 states/eV/atom
# Crystal system ... orthorhombic
# Uncorrected formation energy ... -1.176 eV/atom
data_Nd3Te2Ir
_cell_length_a 8.9755
_cell_length_b 12.5836
_cell_length_c 26.0493
_cell_angle_alpha 90.00
_cell_angle_beta 90.00
_cell_angle_gamma 90.00
_symmetry_space_group_name_H-M 'F d d d'
_symmetry_Int_Tables_number 70
loop_
_symmetry_equiv_pos_as_xyz
'x,y,z'
'-x,-y,-z'
'-x+1/4,-y+1/4,z'
'x+1/4,y+1/4,-z'
'x,-y+1/4,-z+1/4'
'-x,y+1/4,z+1/4'
'-x+1/4,y,-z+1/4'
'x+1/4,-y,z+1/4'
'x,y+1/2,z+1/2'
'-x,-y+1/2,-z+1/2'
'-x+1/4,-y+3/4,z+1/2'
'x+1/4,y+3/4,-z+1/2'
'x,-y+3/4,-z+3/4'
'-x,y+3/4,z+3/4'
'-x+1/4,y+1/2,-z+3/4'
'x+1/4,-y+1/2,z+3/4'
'x+1/2,y,z+1/2'
'-x+1/2,-y,-z+1/2'
'-x+3/4,-y+1/4,z+1/2'
'x+3/4,y+1/4,-z+1/2'
'x+1/2,-y+1/4,-z+3/4'
'-x+1/2,y+1/4,z+3/4'
'-x+3/4,y,-z+3/4'
'x+3/4,-y,z+3/4'
'x+1/2,y+1/2,z'
'-x+1/2,-y+1/2,-z'
'-x+3/4,-y+3/4,z'
'x+3/4,y+3/4,-z'
'x+1/2,-y+3/4,-z+1/4'
'-x+1/2,y+3/4,z+1/4'
'-x+3/4,y+1/2,-z+1/4'
'x+3/4,-y+1/2,z+1/4'
loop_
_atom_site_label
_atom_site_fract_x
_atom_site_fract_y
_atom_site_fract_z
Nd1 0.0878 0.3750 0.3750
Nd2 0.1063 0.3607 0.2158
Te1 0.1250 0.1250 0.3795
Te2 0.1250 0.1250 0.5465
Ir1 0.1250 0.1250 0.0414